Computed, not measured: an optimized crystal structure of SrTa2CoO8 at the PBE with a Hubbard U level of DFT.

```
12
Lattice="-0.776 0.864 -4.852 4.560 -1.259 -1.542 -1.887 -6.040 -0.867" Properties=species:S:1:pos:R:3 pbc="T T T"
Sr -0.944 -3.020 -0.434
Ta 0.362 -4.775 -3.767
Ta 1.534 -1.660 -3.494
Co 0.000 0.000 0.000
O 3.047 -2.046 -2.365
O 0.694 -6.306 -5.203
O -0.081 -0.717 -4.341
O -1.150 -4.389 -4.896
O 1.202 -0.129 -2.058
O 1.978 -5.718 -2.920
O 1.610 -3.230 -4.670
O 0.287 -3.205 -2.591
```

Raw total energy   -8.07 eV/atom
Space group   No. 2